A | # LaYZn2 (PBE, optimized geometry)
# * Fermi-level density of states: 12.25 states/eV per cell
# * size of the total moment: 2.14 μB/cell
data_LaYZn2
_cell_length_a 3.307
_cell_length_b 5.707
_cell_length_c 12.397
_cell_angle_alpha 90.00
_cell_angle_beta 90.00
_cell_angle_gamma 90.00
_symmetry_space_group_name_H-M 'I m m m'
_symmetry_Int_Tables_number 71
_symmetry_space_group_name_Hall '-I 2 2'
loop_
_atom_site_label
_atom_site_type_symbol
_atom_site_fract_x
_atom_site_fract_y
_atom_site_fract_z
_atom_site_occupancy
La1 La 0.000 0.000 0.000 1
Y1 Y 0.000 0.000 0.500 1
Zn1 Zn 0.000 0.000 0.259 1

***

B | # LaYZn2 (PBE, optimized geometry)
# * Fermi-level density of states: 11.50 states/eV per cell
# * size of the total moment: 0.00 μB/cell
data_LaYZn2
_cell_length_a 3.6615
_cell_length_b 3.6615
_cell_length_c 27.6686
_cell_angle_alpha 90.00
_cell_angle_beta 90.00
_cell_angle_gamma 120.00
_symmetry_space_group_name_H-M 'R -3 m'
_symmetry_Int_Tables_number 166
_symmetry_space_group_name_Hall '-R 3 2"'
loop_
_atom_site_label
_atom_site_type_symbol
_atom_site_fract_x
_atom_site_fract_y
_atom_site_fract_z
_atom_site_occupancy
La1 La 0.0000 0.0000 0.0000 1
Y1 Y 0.0000 0.0000 0.5000 1
Zn1 Zn 0.0000 0.0000 0.2452 1

***

C | # LaYZn2 (PBE, optimized geometry)
# * Fermi-level density of states: 4.45 states/eV per cell
# * size of the total moment: 0.00 μB/cell
data_LaYZn2
_cell_length_a 3.636
_cell_length_b 3.636
_cell_length_c 7.478
_cell_angle_alpha 90.00
_cell_angle_beta 90.00
_cell_angle_gamma 90.00
_symmetry_space_group_name_H-M 'P 4/m m m'
_symmetry_Int_Tables_number 123
_symmetry_space_group_name_Hall '-P 4 2'
loop_
_atom_site_label
_atom_site_type_symbol
_atom_site_fract_x
_atom_site_fract_y
_atom_site_fract_z
_atom_site_occupancy
La1 La 0.000 0.000 0.000 1
Y1 Y 0.000 0.000 0.500 1
Zn1 Zn 0.500 0.500 0.275 1

***

Which is the most stable structure? C is the most stable.

***

A | # LaYZn2 (PBE, optimized geometry)
# * Fermi-level density of states: 6.15 states/eV per cell
# * size of the total moment: 0.00 μB/cell
data_LaYZn2
_cell_length_a 3.594
_cell_length_b 5.059
_cell_length_c 10.662
_cell_angle_alpha 90.00
_cell_angle_beta 90.00
_cell_angle_gamma 90.00
_symmetry_space_group_name_H-M 'I m m 2'
_symmetry_Int_Tables_number 44
_symmetry_space_group_name_Hall 'I 2 -2'
loop_
_atom_site_label
_atom_site_type_symbol
_atom_site_fract_x
_atom_site_fract_y
_atom_site_fract_z
_atom_site_occupancy
La1 La 0.000 0.000 0.000 1
Y1 Y 0.000 0.500 0.219 1
Zn1 Zn 0.000 0.000 0.446 1
Zn2 Zn 0.000 0.500 0.768 1

***

B | # LaYZn2 (PBE, optimized geometry)
# * Fermi-level density of states: 4.52 states/eV per cell
# * size of the total moment: 0.42 μB/cell
data_LaYZn2
_cell_length_a 3.659
_cell_length_b 3.659
_cell_length_c 7.601
_cell_angle_alpha 90.00
_cell_angle_beta 90.00
_cell_angle_gamma 90.00
_symmetry_space_group_name_H-M 'P 4 m m'
_symmetry_Int_Tables_number 99
_symmetry_space_group_name_Hall 'P 4 -2'
loop_
_atom_site_label
_atom_site_type_symbol
_atom_site_fract_x
_atom_site_fract_y
_atom_site_fract_z
_atom_site_occupancy
La1 La 0.000 0.000 0.000 1
Y1 Y 0.500 0.500 0.348 1
Zn1 Zn 0.000 0.000 0.565 1
Zn2 Zn 0.500 0.500 0.747 1

***

C | # LaYZn2 (PBE, optimized geometry)
# * Fermi-level density of states: 3.79 states/eV per cell
# * size of the total moment: 0.00 μB/cell
data_LaYZn2
_cell_length_a 5.199
_cell_length_b 5.199
_cell_length_c 3.661
_cell_angle_alpha 90.00
_cell_angle_beta 90.00
_cell_angle_gamma 90.00
_symmetry_space_group_name_H-M 'P 4/m m m'
_symmetry_Int_Tables_number 123
_symmetry_space_group_name_Hall '-P 4 2'
loop_
_atom_site_label
_atom_site_type_symbol
_atom_site_fract_x
_atom_site_fract_y
_atom_site_fract_z
_atom_site_occupancy
La1 La 0.000 0.000 0.000 1
Y1 Y 0.500 0.500 0.000 1
Zn1 Zn 0.000 0.500 0.500 1

***

Which is the most stable structure? C is the most stable.

***

A | # LaYZn2 (PBE, optimized geometry)
# * Fermi-level density of states: 10.22 states/eV per cell
# * size of the total moment: 0.00 μB/cell
data_LaYZn2
_cell_length_a 9.371
_cell_length_b 3.722
_cell_length_c 6.411
_cell_angle_alpha 90.00
_cell_angle_beta 104.42
_cell_angle_gamma 90.00
_symmetry_space_group_name_H-M 'C 1 2/m 1'
_symmetry_Int_Tables_number 12
_symmetry_space_group_name_Hall '-C 2y'
loop_
_atom_site_label
_atom_site_type_symbol
_atom_site_fract_x
_atom_site_fract_y
_atom_site_fract_z
_atom_site_occupancy
La1 La 0.000 0.000 0.000 1
Y1 Y 0.000 0.500 0.500 1
Zn1 Zn 0.245 0.000 0.699 1

***

B | # LaYZn2 (PBE, optimized geometry)
# * Fermi-level density of states: 22.97 states/eV per cell
# * size of the total moment: 0.00 μB/cell
data_LaYZn2
_cell_length_a 7.353
_cell_length_b 7.353
_cell_length_c 7.353
_cell_angle_alpha 90.00
_cell_angle_beta 90.00
_cell_angle_gamma 90.00
_symmetry_space_group_name_H-M 'F m -3 m'
_symmetry_Int_Tables_number 225
_symmetry_space_group_name_Hall '-F 4 2 3'
loop_
_atom_site_label
_atom_site_type_symbol
_atom_site_fract_x
_atom_site_fract_y
_atom_site_fract_z
_atom_site_occupancy
La1 La 0.000 0.000 0.000 1
Y1 Y 0.000 0.000 0.500 1
Zn1 Zn 0.250 0.250 0.250 1

***

Which is the most stable structure? B is the most stable.

***

A | # LaYZn4 (PBE, optimized geometry)
# * Fermi-level density of states: 12.96 states/eV per cell
# * size of the total moment: 0.00 μB/cell
data_LaYZn4
_cell_length_a 4.518
_cell_length_b 7.433
_cell_length_c 7.813
_cell_angle_alpha 90.00
_cell_angle_beta 90.00
_cell_angle_gamma 90.00
_symmetry_space_group_name_H-M 'I m m m'
_symmetry_Int_Tables_number 71
_symmetry_space_group_name_Hall '-I 2 2'
loop_
_atom_site_label
_atom_site_type_symbol
_atom_site_fract_x
_atom_site_fract_y
_atom_site_fract_z
_atom_site_occupancy
La1 La 0.000 0.000 0.000 1
Y1 Y 0.000 0.500 0.000 1
Zn1 Zn 0.000 0.240 0.334 1

***

B | # LaYZn4 (PBE, optimized geometry)
# * Fermi-level density of states: 9.43 states/eV per cell
# * size of the total moment: 0.00 μB/cell
data_LaYZn4
_cell_length_a 7.868
_cell_length_b 7.868
_cell_length_c 7.868
_cell_angle_alpha 90.00
_cell_angle_beta 90.00
_cell_angle_gamma 90.00
_symmetry_space_group_name_H-M 'F -4 3 m'
_symmetry_Int_Tables_number 216
_symmetry_space_group_name_Hall 'F -4 2 3'
loop_
_atom_site_label
_atom_site_type_symbol
_atom_site_fract_x
_atom_site_fract_y
_atom_site_fract_z
_atom_site_occupancy
La1 La 0.000 0.000 0.000 1
Y1 Y 0.250 0.250 0.750 1
Zn1 Zn 0.124 0.124 0.376 1

***

Which is the most stable structure? A is the most stable.

***

A | # La4YZn (PBE, optimized geometry)
# * Fermi-level density of states: 8.63 states/eV per cell
# * size of the total moment: 0.00 μB/cell
data_La4YZn
_cell_length_a 3.731
_cell_length_b 3.731
_cell_length_c 14.110
_cell_angle_alpha 90.00
_cell_angle_beta 90.00
_cell_angle_gamma 90.00
_symmetry_space_group_name_H-M 'P 4/m m m'
_symmetry_Int_Tables_number 123
_symmetry_space_group_name_Hall '-P 4 2'
loop_
_atom_site_label
_atom_site_type_symbol
_atom_site_fract_x
_atom_site_fract_y
_atom_site_fract_z
_atom_site_occupancy
La1 La 0.000 0.000 0.134 1
La2 La 0.500 0.500 0.320 1
Y1 Y 0.000 0.000 0.500 1
Zn1 Zn 0.500 0.500 0.000 1

***

B | # La4YZn (PBE, optimized geometry)
# * Fermi-level density of states: 37.68 states/eV per cell
# * size of the total moment: 0.00 μB/cell
data_La4YZn
_cell_length_a 9.349
_cell_length_b 9.349
_cell_length_c 9.349
_cell_angle_alpha 90.00
_cell_angle_beta 90.00
_cell_angle_gamma 90.00
_symmetry_space_group_name_H-M 'F -4 3 m'
_symmetry_Int_Tables_number 216
_symmetry_space_group_name_Hall 'F -4 2 3'
loop_
_atom_site_label
_atom_site_type_symbol
_atom_site_fract_x
_atom_site_fract_y
_atom_site_fract_z
_atom_site_occupancy
La1 La 0.125 0.125 0.125 1
Y1 Y 0.250 0.250 0.750 1
Zn1 Zn 0.000 0.000 0.500 1

***

Which is the most stable structure? A is the most stable.

***

A | # La2YZn2 (PBE, optimized geometry)
# * Fermi-level density of states: 11.95 states/eV per cell
# * size of the total moment: 0.00 μB/cell
data_La2YZn2
_cell_length_a 8.784
_cell_length_b 8.784
_cell_length_c 3.557
_cell_angle_alpha 90.00
_cell_angle_beta 90.00
_cell_angle_gamma 90.00
_symmetry_space_group_name_H-M 'P 4/m b m'
_symmetry_Int_Tables_number 127
_symmetry_space_group_name_Hall '-P 4 2ab'
loop_
_atom_site_label
_atom_site_type_symbol
_atom_site_fract_x
_atom_site_fract_y
_atom_site_fract_z
_atom_site_occupancy
La1 La 0.125 0.375 0.000 1
Y1 Y 0.000 0.000 0.000 1
Zn1 Zn 0.172 0.672 0.500 1

***

B | # La2YZn2 (PBE, optimized geometry)
# * Fermi-level density of states: 22.26 states/eV per cell
# * size of the total moment: 0.00 μB/cell
data_La2YZn2
_cell_length_a 4.630
_cell_length_b 4.630
_cell_length_c 13.217
_cell_angle_alpha 90.00
_cell_angle_beta 90.00
_cell_angle_gamma 90.00
_symmetry_space_group_name_H-M 'I 4/m m m'
_symmetry_Int_Tables_number 139
_symmetry_space_group_name_Hall '-I 4 2'
loop_
_atom_site_label
_atom_site_type_symbol
_atom_site_fract_x
_atom_site_fract_y
_atom_site_fract_z
_atom_site_occupancy
La1 La 0.000 0.500 0.250 1
Y1 Y 0.000 0.000 0.000 1
Zn1 Zn 0.000 0.000 0.410 1

***

Which is the most stable structure? A is the most stable.